Record 1
The following is a PBE calculation of a relaxed structure of SrCa2GeOs, from the Alexandria database.

As for the crystal system: tetragonal. The density of states at the Fermi level comes out at 6.707 states/eV/f.u.

It has space group P4/mmm (No. 123), with a = 5.5163 Å, b = 5.5163 Å, c = 5.9137 Å, α = 90.00°, β = 90.00° and γ = 90.00°. The distinct sites, in fractional coordinates, are Sr at (0.0000, 0.0000, 0.0000), Ca at (0.0000, 0.5000, 0.5000), Ge at (0.0000, 0.0000, 0.5000) and Os at (0.5000, 0.5000, 0.0000).

=====

Record 2
The following is a PBE calculation of a relaxed structure of Y2TaGeMo, from the Alexandria database.

As for the crystal system: tetragonal. The density of states at the Fermi level comes out at 4.764 states/eV/f.u.

It has space group P4/mmm (No. 123), with a = 5.3040 Å, b = 5.3040 Å, c = 4.6781 Å, α = 90.00°, β = 90.00° and γ = 90.00°. The distinct sites, in fractional coordinates, are Y at (0.0000, 0.5000, 0.0000), Ta at (0.0000, 0.0000, 0.5000), Ge at (0.5000, 0.5000, 0.0000) and Mo at (0.5000, 0.5000, 0.5000).

=====

Record 3
The following is a PBE calculation of a relaxed structure of HgBi2Au3, from the Alexandria database.

As for the crystal system: orthorhombic. The density of states at the Fermi level comes out at 2.545 states/eV/f.u.

It has space group Cmcm (No. 63), with a = 10.5962 Å, b = 10.5837 Å, c = 5.4377 Å, α = 90.00°, β = 90.00° and γ = 90.00°. The distinct sites, in fractional coordinates, are Hg at (0.0000, 0.2422, 0.2500), Bi at (0.1511, 0.1675, 0.7500), Au at (0.0000, 0.5000, 0.0000) and Au at (0.2311, 0.4236, 0.7500).

=====

Record 4
The following is a PBE calculation of a relaxed structure of CuRu2Pb, from the Alexandria database.

As for the crystal system: tetragonal. The density of states at the Fermi level comes out at 5.171 states/eV/f.u.

It has space group P4/mmm (No. 123), with a = 4.4154 Å, b = 4.4154 Å, c = 3.2613 Å, α = 90.00°, β = 90.00° and γ = 90.00°. The distinct sites, in fractional coordinates, are Cu at (0.0000, 0.0000, 0.0000), Ru at (0.0000, 0.5000, 0.5000) and Pb at (0.5000, 0.5000, 0.0000).

=====

Number 1: DFT formation energy 801 meV/atom, uncorrected energy -3.51 eV per atom. Number 2: DFT formation energy 839 meV/atom, uncorrected energy -7.21 eV per atom. Number 3: DFT formation energy 53 meV/atom, uncorrected energy -2.93 eV per atom. Number 4: DFT formation energy 532 meV/atom, uncorrected energy -6.06 eV per atom.